VASP calculation (GGA-PBE) on a relaxed BeAgWS2 crystal.

Structure (extended XYZ):
```
5
Lattice="4.5532 0.0000 0.0000 0.0000 5.4829 0.0000 0.0000 0.0000 4.5532" Properties=species:S:1:pos:R:3 pbc="T T T"
S 2.2766 0.0000 0.0000
S 0.0000 0.0000 2.2766
W 0.0000 0.0000 0.0000
Ag 0.0000 2.7415 0.0000
Be 2.2766 2.7415 2.2766
```

Results
Electronic total energy, eV per atom: -4.77
Magnetic moment, μB per atom: 0.000
ΔE_f (raw), eV per atom: 0.790

VASP calculation (GGA-PBE) on a relaxed BaCdSi2 crystal.

Structure (extended XYZ):
```
4
Lattice="8.0364 -0.0799 -0.0481 7.0455 3.8665 -0.0481 7.0455 1.7689 3.4384" Properties=species:S:1:pos:R:3 pbc="T T T"
Cd 16.0890 4.0394 2.4302
Ba 11.4027 2.8628 1.7223
Si 21.6531 5.4364 3.2707
Si 6.1739 1.5501 0.9326
```

Results
Electronic total energy, eV per atom: -3.46
Magnetic moment, μB per atom: 0.000
ΔE_f (raw), eV per atom: -0.037

VASP calculation (GGA-PBE) on a relaxed Sr3GaI crystal.

Structure (extended XYZ):
```
5
Lattice="-2.2317 -1.9995 -5.4183 -5.0348 -2.1724 2.8754 -2.8296 5.4423 -0.8428" Properties=species:S:1:pos:R:3 pbc="T T T"
Ga 0.0000 0.0000 0.0000
I -5.0481 0.6352 -1.6929
Sr -1.1159 -0.9997 -2.7091
Sr -1.4148 2.7212 -0.4214
Sr -2.5174 -1.0862 1.4377
```

Results
Electronic total energy, eV per atom: -2.38
Magnetic moment, μB per atom: 0.000
ΔE_f (raw), eV per atom: -0.453

VASP calculation (GGA-PBE) on a relaxed Tb12CeHo6 crystal.

Structure (extended XYZ):
```
19
Lattice="8.4317 0.7003 0.8389 -0.5861 8.4404 0.8389 -0.5861 -0.6829 8.4545" Properties=species:S:1:pos:R:3 pbc="T T T"
Tb 4.3469 1.9586 4.5455
Tb 1.4712 3.1333 0.5753
Tb 2.9126 6.4993 5.5868
Tb -0.2170 1.4551 3.1857
Tb 2.8741 0.2213 2.0009
Tb 1.2769 3.6515 5.3319
Tb 4.3854 8.2366 8.1314
Tb 7.4765 7.0028 6.9466
Tb 3.8438 3.5362 7.3930
Tb 5.9826 4.8063 4.8004
Tb 5.7884 5.3245 9.5570
Tb 3.4157 4.9216 2.7393
Ho 0.2396 5.7676 2.8444
Ho 5.6646 2.6000 1.6016
Ho 1.7112 0.5049 6.1830
Ho 7.0199 2.6903 7.2880
Ho 5.5483 7.9530 3.9493
Ho 1.5949 5.8579 8.5307
Ce 0.0000 0.0000 0.0000
```

Results
Electronic total energy, eV per atom: -4.53
Magnetic moment, μB per atom: 0.042

VASP calculation (GGA-PBE) on a relaxed FeRe2Pb crystal.

Structure (extended XYZ):
```
4
Lattice="-2.4585 -3.5264 1.8733 0.5468 -3.8295 2.6504 -0.9962 1.9186 4.6006" Properties=species:S:1:pos:R:3 pbc="T T T"
Re -2.1896 -4.0488 6.8880
Re -0.9583 1.6455 4.3475
Fe -1.4695 -2.5191 4.7003
Pb -0.7407 -1.3149 2.3513
```

Results
Electronic total energy, eV per atom: -8.53
Magnetic moment, μB per atom: 0.597

VASP calculation (GGA-PBE) on a relaxed MgSO5 crystal.

Structure (extended XYZ):
```
14
Lattice="4.9236 0.0420 0.0431 1.6019 4.6559 0.0431 2.3929 1.7227 6.3400" Properties=species:S:1:pos:R:3 pbc="T T T"
O 5.4379 3.8027 0.7625
O 2.6740 3.5122 0.2809
O 5.2145 0.8995 1.6281
O 6.2443 2.9084 6.1454
O 6.5279 4.8119 3.9325
O 5.3755 2.2829 3.4509
O 3.4803 2.6179 5.6638
O 2.3904 1.6087 2.4938
O 3.5428 4.1377 2.9754
O 3.7038 5.5211 4.7982
Mg 4.9304 3.8173 4.7982
Mg 3.9879 2.6033 1.6281
S 0.0000 0.0000 0.0000
S 1.1964 0.8614 3.1700
```

Results
Electronic total energy, eV per atom: -5.30
Magnetic moment, μB per atom: 0.136
ΔE_f (raw), eV per atom: -0.944

VASP calculation (GGA-PBE) on a relaxed CdCo2Ir crystal.

Structure (extended XYZ):
```
4
Lattice="-3.2397 3.2137 -1.6767 -4.4970 0.7410 -1.6919 -2.5609 1.2803 3.5332" Properties=species:S:1:pos:R:3 pbc="T T T"
Ir -5.1376 2.6103 0.3206
Co -7.5630 3.8450 0.0877
Co -0.1837 0.0937 -0.0568
Cd -2.5622 1.3035 -0.1045
```

Results
Electronic total energy, eV per atom: -5.75
Magnetic moment, μB per atom: 0.892

VASP calculation (GGA-PBE) on a relaxed Ba2TaIn crystal.

Structure (extended XYZ):
```
4
Lattice="-7.1239 -0.0206 9.6369 -7.5346 -3.4054 8.6748 -4.7896 -2.4618 10.7060" Properties=species:S:1:pos:R:3 pbc="T T T"
Ta -14.5861 -4.4159 21.7632
Ba -9.6311 -2.9158 14.3701
Ba -0.0930 -0.0281 0.1387
In -4.8620 -1.4720 7.2544
```

Results
Electronic total energy, eV per atom: -3.87
Magnetic moment, μB per atom: 0.000